# 1
Cr2TeCl: PBEsol geometry, SCAN.

Calculated values
DOS(E_F)   1.07 states/eV/f.u.
Formation energy from raw total energies   -0.186 eV/atom
Excess energy over the best structure of this formula in the dataset   0.042 eV per atom

```
Cr2TeCl
1.0
3.415 0.000 0.000
0.000 3.415 0.000
0.000 0.000 6.855
Cr Te Cl
2 1 1
direct
0.000 0.000 0.235
0.000 0.000 0.765
0.500 0.500 0.000
0.500 0.500 0.500
```



# 2
TaZn2Ag: PBEsol geometry, SCAN.

Calculated values
DOS(E_F)   1.56 states/eV/f.u.
Formation energy from the elements   27.2 kJ per mole of atoms
Excess energy over the best structure of this formula in the dataset   0.332 eV per atom

```
TaZn2Ag
1.0
0.000 3.123 3.123
3.123 0.000 3.123
3.123 3.123 0.000
Ta Zn Ag
1 2 1
direct
0.000 0.000 0.000
0.250 0.250 0.250
0.750 0.750 0.750
0.500 0.500 0.500
```



# 3
AsPS2: PBEsol geometry, SCAN.

Calculated values
DOS(E_F)   1.82 states/eV/f.u.
Formation energy from raw total energies   0.738 eV/atom

```
AsPS2
1.0
0.000 3.144 3.144
3.144 0.000 3.144
3.144 3.144 0.000
As P S
1 1 2
direct
0.000 0.000 0.000
0.500 0.500 0.500
0.250 0.250 0.250
0.750 0.750 0.750
```



# 4
MnBe2Al: PBEsol geometry, SCAN.

Calculated values
DOS(E_F)   1.21 states/eV/f.u.
Formation energy from the elements   -21.3 kJ per mole of atoms

```
MnBe2Al
1.0
3.500 0.000 0.000
0.000 3.500 0.000
0.000 0.000 3.380
Mn Be Al
1 2 1
direct
0.000 0.000 0.000
0.000 0.500 0.500
0.500 0.000 0.500
0.500 0.500 0.000
```



# 5
KCo3N: PBEsol geometry, SCAN.

Calculated values
DOS(E_F)   1.22 states/eV/f.u.
Formation energy from raw total energies   3.348 eV/atom

```
KCo3N
1.0
4.226 0.000 0.000
0.000 4.226 0.000
0.000 0.000 4.226
K Co N
1 3 1
direct
0.000 0.000 0.000
0.000 0.000 0.500
0.000 0.500 0.000
0.500 0.000 0.000
0.500 0.500 0.500
```



# 6
CdAsIr2: PBEsol geometry, SCAN.

Calculated values
DOS(E_F)   2.52 states/eV/f.u.
Formation energy from the elements   21.5 kJ per mole of atoms
Excess energy over the best structure of this formula in the dataset   0.065 eV per atom

```
CdAsIr2
1.0
2.910 0.000 0.000
0.000 4.132 0.000
-1.262 0.000 5.274
Cd As Ir
1 1 2
direct
0.000 0.000 0.000
0.500 0.000 0.500
0.374 0.500 0.732
0.626 0.500 0.268
```



# 7
CrCuAs2: PBEsol geometry, SCAN.

Calculated values
DOS(E_F)   1.43 states/eV/f.u.
Formation energy from the elements   8.0 kJ per mole of atoms

```
CrCuAs2
1.0
1.495 0.863 7.346
-1.495 0.863 7.346
0.000 -1.726 7.346
Cr Cu As
1 1 2
direct
0.000 0.000 0.000
0.500 0.500 0.500
0.255 0.255 0.255
0.745 0.745 0.745
```



# 8
Mg3FeN3: PBEsol geometry, SCAN.

Calculated values
DOS(E_F)   0.21 states/eV/f.u.
Formation energy from raw total energies   -0.729 eV/atom

```
Mg3FeN3
1.0
3.981 -4.576 0.000
3.981 4.576 0.000
0.000 0.000 4.341
Mg Fe N
6 2 6
direct
0.109 0.891 0.750
0.149 0.387 0.750
0.387 0.149 0.250
0.613 0.851 0.750
0.851 0.613 0.250
0.891 0.109 0.250
0.317 0.683 0.250
0.683 0.317 0.750
0.123 0.877 0.250
0.161 0.410 0.250
0.410 0.161 0.750
0.590 0.839 0.250
0.839 0.590 0.750
0.877 0.123 0.750
```



# 9
FeNiIr2: PBEsol geometry, SCAN.

Calculated values
DOS(E_F)   3.07 states/eV/f.u.
Formation energy from the elements   -12.4 kJ per mole of atoms
Excess energy over the best structure of this formula in the dataset   0.001 eV per atom

```
FeNiIr2
1.0
-1.876 1.876 3.526
1.876 -1.876 3.526
1.876 1.876 -3.526
Fe Ni Ir
1 1 2
direct
0.000 0.000 0.000
0.500 0.500 0.000
0.250 0.750 0.500
0.750 0.250 0.500
```



# 10
Mg2Tl: PBEsol geometry, SCAN.

Calculated values
DOS(E_F)   1.23 states/eV/f.u.
Formation energy from the elements   -17.0 kJ per mole of atoms

```
Mg2Tl
1.0
8.203 0.000 0.000
-4.102 7.104 0.000
0.000 0.000 3.528
Mg Tl
6 3
direct
0.000 0.287 0.000
0.000 0.627 0.500
0.287 0.000 0.000
0.373 0.373 0.500
0.627 0.000 0.500
0.713 0.713 0.000
0.000 0.000 0.500
0.333 0.667 0.000
0.667 0.333 0.000
```



# 11
Ti2VS4: PBEsol geometry, SCAN.

Calculated values
DOS(E_F)   2.85 states/eV/f.u.
Formation energy from raw total energies   -1.506 eV/atom

```
Ti2VS4
1.0
6.444 -1.645 0.000
6.444 1.645 0.000
-2.647 0.000 5.233
Ti V S
2 1 4
direct
0.245 0.245 0.227
0.755 0.755 0.773
0.500 0.500 0.500
0.125 0.125 0.457
0.384 0.384 0.054
0.616 0.616 0.946
0.875 0.875 0.543
```



# 12
CeGaAg: PBEsol geometry, SCAN.

Calculated values
DOS(E_F)   3.85 states/eV/f.u.
Formation energy from the elements   -47.1 kJ per mole of atoms

```
CeGaAg
1.0
-2.303 3.424 3.970
2.303 -3.424 3.970
2.303 3.424 -3.970
Ce Ga Ag
2 2 2
direct
0.000 0.000 0.000
0.545 0.045 0.500
0.393 0.688 0.705
0.983 0.688 0.295
0.134 0.357 0.778
0.579 0.357 0.222
```



# 13
ReTcP2: PBEsol geometry, SCAN.

Calculated values
DOS(E_F)   1.88 states/eV/f.u.
Formation energy from the elements   -16.0 kJ per mole of atoms
Excess energy over the best structure of this formula in the dataset   0.000 eV per atom

```
ReTcP2
1.0
2.805 0.000 0.000
0.000 3.707 0.000
0.000 0.000 5.045
Re Tc P
1 1 2
direct
0.000 0.000 0.000
0.500 0.500 0.357
0.000 0.000 0.513
0.500 0.500 0.839
```



# 14
TcOsRh2: PBEsol geometry, SCAN.

Calculated values
DOS(E_F)   2.95 states/eV/f.u.
Formation energy from the elements   -8.5 kJ per mole of atoms
Excess energy over the best structure of this formula in the dataset   0.000 eV per atom

```
TcOsRh2
1.0
2.683 0.000 0.000
0.000 4.295 0.000
0.000 0.000 4.721
Tc Os Rh
1 1 2
direct
0.000 0.000 0.000
0.000 0.500 0.677
0.500 0.000 0.502
0.500 0.500 0.175
```